A plane-wave DFT calculation with PBE-GGA was carried out for an optimized crystal structure of ZrSbAsO.

Calculated values
The mass density is 6.53 g/cm³.

Cell lengths 4.5088, 4.5088, 7.6032 Å; angles 90.00, 90.00, 90.00 degrees
Space group P4/nmm (No. 129, origin choice 2)
Unique sites:
Zr1 0.2500 0.7500 0.0000 (multiplicity 2)
Sb1 0.2500 0.2500 0.4150 (multiplicity 2)
As1 0.2500 0.2500 0.8066 (multiplicity 2)
O1 0.2500 0.7500 0.5000 (multiplicity 2)

***

A plane-wave DFT calculation with PBE-GGA was carried out for an optimized crystal structure of ScTcAsO.

Calculated values
The mass density is 6.39 g/cm³.

Cell lengths 3.8485, 3.8485, 8.2039 Å; angles 90.00, 90.00, 90.00 degrees
Space group P4/nmm (No. 129, origin choice 2)
Unique sites:
Sc1 0.2500 0.2500 0.1138 (multiplicity 2)
Tc1 0.2500 0.7500 0.5000 (multiplicity 2)
As1 0.2500 0.2500 0.6939 (multiplicity 2)
O1 0.2500 0.7500 0.0000 (multiplicity 2)

***

A plane-wave DFT calculation with PBE-GGA was carried out for an optimized crystal structure of ScTcAsO.

Calculated values
The mass density is 6.49 g/cm³.

Cell lengths 4.2669, 4.7562, 5.8953 Å; angles 90.00, 90.00, 90.00 degrees
Space group Pmc2_1 (No. 26)
Unique sites:
Sc1 0.0000 0.2342 0.0000 (multiplicity 2)
Tc1 0.5000 0.3871 0.3284 (multiplicity 2)
As1 0.5000 0.1193 0.6882 (multiplicity 2)
O1 0.0000 0.4059 0.3170 (multiplicity 2)

***

no.,spin magnetization (Bohr magnetons per cell),distance to the lowest polymorph of the same formula (meV per atom),total energy (eV/f.u.)
1,0.02,519,-24.706
2,0.01,0,-32.679
3,0.45,304,-31.462